Ti2Pd6Pb: relaxed, PBE.

magnetization: 0.000 μB/f.u.
E_form: -0.4553 eV per atom
uncorrected energy: -6.084 eV per atom
density of states at the Fermi level: 7.91 states/eV/f.u.
SG: C2/m

a b c (Å): 3.9495 4.8720 8.8299
angles (deg): 72.31 77.08 66.09
Positions (direct):
Ti 0.3106 0.6217 0.7572
Ti 0.6894 0.3783 0.2428
Pd 0.6657 0.7251 0.9436
Pd 0.3343 0.2749 0.0564
Pd 0.0063 0.8181 0.1694
Pd 0.3329 0.9523 0.3818
Pd 0.9937 0.1819 0.8306
Pd 0.6671 0.0477 0.6182
Pb 0.0000 0.5000 0.5000

TiPdPb: relaxed, PBE.

magnetization: 0.000 μB/f.u.
E_form: -0.2002 eV per atom
uncorrected energy: -5.799 eV per atom
density of states at the Fermi level: 2.73 states/eV/f.u.
SG: I4mm

a b c (Å): 3.2480 3.2480 6.0855
angles (deg): 105.48 105.48 90.00
Positions (direct):
Pb 0.2855 0.2855 0.5711
Pd 0.9741 0.9741 0.9482
Ti 0.5903 0.5903 0.1807

TiPd4Pb: relaxed, PBE.

magnetization: 0.000 μB/f.u.
E_form: -0.3828 eV per atom
uncorrected energy: -5.779 eV per atom
density of states at the Fermi level: 3.22 states/eV/f.u.
SG: C2/m

a b c (Å): 4.9197 8.6925 4.8778
angles (deg): 90.00 73.41 90.00
Positions (direct):
Ti 0.5000 0.0000 0.5000
Ti 0.0000 0.5000 0.5000
Pd 0.9998 0.6618 0.0004
Pd 0.5002 0.1618 0.9996
Pd 0.5002 0.3307 0.4997
Pd 0.9998 0.8307 0.5003
Pd 0.0002 0.3382 0.9996
Pd 0.4998 0.8382 0.0004
Pd 0.4998 0.6693 0.5003
Pd 0.0002 0.1693 0.4997
Pb 0.0000 0.0000 0.0000
Pb 0.5000 0.5000 0.0000

Ti2Pd2Pb: relaxed, PBE.

magnetization: 0.538 μB/f.u.
E_form: -0.2086 eV per atom
uncorrected energy: -6.185 eV per atom
density of states at the Fermi level: 5.08 states/eV/f.u.
SG: I4/mmm

a b c (Å): 4.2457 4.2457 6.2649
angles (deg): 70.19 70.19 90.00
Site moments in Bohr magnetons follow the coordinates.
Positions (direct):
Pb 0.0000 0.0000 0.0000  -0.01
Pd 0.3812 0.3812 0.2376  0.02
Pd 0.6188 0.6188 0.7624  0.02
Ti 0.7500 0.2500 0.5000  0.21
Ti 0.2500 0.7500 0.5000  0.21

Ti3Pd4Pb: relaxed, PBE.

magnetization: 2.114 μB/f.u.
E_form: -0.3922 eV per atom
uncorrected energy: -6.413 eV per atom
density of states at the Fermi level: 8.37 states/eV/f.u.
SG: Pmma

a b c (Å): 4.7329 6.2163 9.2162
angles (deg): 90.00 90.00 90.00
Site moments in Bohr magnetons follow the coordinates.
Positions (direct):
Pb 0.0000 0.5000 0.0000  -0.01
Pb 0.0000 0.5000 0.5000  -0.01
Pd 0.5000 0.7714 0.0000  0.04
Pd 0.5000 0.7714 0.5000  0.04
Pd 0.5000 0.2286 0.0000  0.04
Pd 0.5000 0.2286 0.5000  0.04
Pd 0.0986 0.7734 0.7500  0.04
Pd 0.9014 0.7734 0.2500  0.04
Pd 0.9014 0.2266 0.2500  0.04
Pd 0.0986 0.2266 0.7500  0.04
Ti 0.0000 0.0000 0.0000  0.26
Ti 0.0000 0.0000 0.5000  0.26
Ti 0.5822 0.0000 0.7500  0.69
Ti 0.4178 0.0000 0.2500  0.69
Ti 0.5598 0.5000 0.7500  0.65
Ti 0.4402 0.5000 0.2500  0.65

TiPd9Pb2: relaxed, PBE.

magnetization: 0.000 μB/f.u.
E_form: -0.4065 eV per atom
uncorrected energy: -5.577 eV per atom
density of states at the Fermi level: 1.87 states/eV/f.u.
SG: P4/mmm

a b c (Å): 4.0456 4.0456 12.1721
angles (deg): 90.00 90.00 90.00
Positions (direct):
Ti 0.0000 0.0000 0.0000
Pd 0.5000 0.5000 0.0000
Pd 0.5000 0.5000 0.3281
Pd 0.5000 0.5000 0.6719
Pd 0.5000 0.0000 0.1527
Pd 0.5000 0.0000 0.5000
Pd 0.5000 0.0000 0.8473
Pd 0.0000 0.5000 0.1527
Pd 0.0000 0.5000 0.5000
Pd 0.0000 0.5000 0.8473
Pb 0.0000 0.0000 0.3287
Pb 0.0000 0.0000 0.6713

TiPdPb: relaxed, PBE.

magnetization: 0.000 μB/f.u.
E_form: -0.0097 eV per atom
uncorrected energy: -5.608 eV per atom
density of states at the Fermi level: 1.65 states/eV/f.u.
SG: Immm

a b c (Å): 5.3665 3.0439 7.9808
angles (deg): 100.99 109.65 90.00
Positions (direct):
Pb 0.6471 0.1471 0.2941
Pb 0.3529 0.8529 0.7059
Pd 0.7553 0.5000 0.0000
Pd 0.2447 0.5000 0.0000
Ti 0.1556 0.6556 0.3111
Ti 0.8444 0.3444 0.6889

ZrTiPdPb: relaxed, PBE.

magnetization: 1.200 μB/f.u.
E_form: -0.1947 eV per atom
uncorrected energy: -6.531 eV per atom
density of states at the Fermi level: 4.54 states/eV/f.u.
SG: F-43m

a b c (Å): 4.8315 4.8315 4.8315
angles (deg): 60.00 60.00 60.00
Site moments in Bohr magnetons follow the coordinates.
Positions (direct):
Pb 0.0000 0.0000 0.0000  -0.01
Zr 0.7500 0.7500 0.7500  0.14
Pd 0.5000 0.5000 0.5000  0.08
Ti 0.2500 0.2500 0.2500  0.74

TlPd6Pb: relaxed, PBE.

magnetization: 0.000 μB/f.u.
E_form: -0.2289 eV per atom
uncorrected energy: -4.883 eV per atom
density of states at the Fermi level: 1.00 states/eV/f.u.
energy above the most stable polymorph in this dataset: 0.008 eV/atom
SG: P-6m2

a b c (Å): 4.6785 5.8252 5.8252
angles (deg): 119.99 90.00 90.00
Positions (direct):
Tl 0.0000 0.0833 0.9167
Pd 0.0000 0.0769 0.4135
Pd 0.0000 0.5865 0.9231
Pd 0.0000 0.5866 0.4134
Pd 0.5000 0.4218 0.0860
Pd 0.5000 0.9140 0.5782
Pd 0.5000 0.9139 0.0861
Pb 0.5000 0.4167 0.5833

Tl4Pd15Pb: relaxed, PBE.

magnetization: 0.000 μB/f.u.
E_form: -0.2015 eV per atom
uncorrected energy: -4.755 eV per atom
density of states at the Fermi level: 22.52 states/eV/f.u.
SG: P4/mmm

a b c (Å): 4.0809 4.0809 20.5333
angles (deg): 90.00 90.00 90.00
Positions (direct):
Tl 0.0000 0.0000 0.2011
Tl 0.0000 0.0000 0.4001
Tl 0.0000 0.0000 0.5999
Tl 0.0000 0.0000 0.7989
Pd 0.5000 0.5000 0.0000
Pd 0.5000 0.5000 0.1997
Pd 0.5000 0.5000 0.4003
Pd 0.5000 0.5000 0.5997
Pd 0.5000 0.5000 0.8003
Pd 0.5000 0.0000 0.1004
Pd 0.5000 0.0000 0.3005
Pd 0.5000 0.0000 0.5000
Pd 0.5000 0.0000 0.6995
Pd 0.5000 0.0000 0.8996
Pd 0.0000 0.5000 0.1004
Pd 0.0000 0.5000 0.3005
Pd 0.0000 0.5000 0.5000
Pd 0.0000 0.5000 0.6995
Pd 0.0000 0.5000 0.8996
Pb 0.0000 0.0000 0.0000

Tl2Pd3Pb2: relaxed, PBE.

magnetization: 0.000 μB/f.u.
E_form: -0.1275 eV per atom
uncorrected energy: -4.089 eV per atom
density of states at the Fermi level: 2.86 states/eV/f.u.
energy above the most stable polymorph in this dataset: 0.000 eV/atom
SG: P-1

a b c (Å): 3.7381 6.3779 7.3070
angles (deg): 89.31 75.41 90.05
Positions (direct):
Tl 0.1008 0.6188 0.8048
Tl 0.8992 0.3812 0.1952
Pd 0.0000 0.0000 0.0000
Pd 0.2465 0.3317 0.5054
Pd 0.7535 0.6683 0.4946
Pb 0.3505 0.9220 0.2992
Pb 0.6495 0.0780 0.7008

Tl5Pd3Pb: relaxed, PBE.

magnetization: 0.000 μB/f.u.
E_form: -0.0640 eV per atom
uncorrected energy: -3.522 eV per atom
density of states at the Fermi level: 3.76 states/eV/f.u.
SG: C2/m

a b c (Å): 7.7443 7.7443 10.3433
angles (deg): 64.74 64.74 78.11
Positions (direct):
Tl 0.9484 0.3896 0.3365
Tl 0.2824 0.7176 0.0000
Tl 0.7588 0.7588 0.0226
Tl 0.4288 0.4288 0.3508
Tl 0.5712 0.5712 0.6492
Tl 0.2412 0.2412 0.9774
Tl 0.3896 0.9484 0.3365
Tl 0.7176 0.2824 0.0000
Tl 0.0516 0.6104 0.6635
Tl 0.6104 0.0516 0.6635
Pd 0.6704 0.6704 0.8308
Pd 0.6671 0.6671 0.3361
Pd 0.0000 0.0000 0.0000
Pd 0.0000 0.0000 0.5000
Pd 0.3296 0.3296 0.1692
Pd 0.3329 0.3329 0.6639
Pb 0.0918 0.0918 0.6901
Pb 0.9082 0.9082 0.3099